Entry 1:
Density functional theory data (meta-GGA SCAN) for a crystal of NaCuP4O12 relaxed with PBEsol.

Unit cell a=9.430 b=12.691 c=8.152 alpha=90.00 beta=95.73 gamma=90.00
Space group Cc (No. 9)
Asymmetric unit:
Na 0.000 0.163 0.000 (multiplicity 4)
Cu 0.162 0.359 0.427 (multiplicity 4)
P 0.036 0.423 0.997 (multiplicity 4)
P 0.052 0.155 0.569 (multiplicity 4)
P 0.253 0.139 0.332 (multiplicity 4)
P 0.302 0.427 0.847 (multiplicity 4)
O 0.014 0.356 0.141 (multiplicity 4)
O 0.030 0.262 0.482 (multiplicity 4)
O 0.069 0.461 0.534 (multiplicity 4)
O 0.080 0.148 0.749 (multiplicity 4)
O 0.158 0.374 0.896 (multiplicity 4)
O 0.172 0.092 0.480 (multiplicity 4)
O 0.183 0.113 0.169 (multiplicity 4)
O 0.280 0.453 0.336 (multiplicity 4)
O 0.288 0.256 0.374 (multiplicity 4)
O 0.347 0.378 0.697 (multiplicity 4)
O 0.404 0.080 0.357 (multiplicity 4)
O 0.409 0.409 0.009 (multiplicity 4)

E_form (uncorrected): -37.78 eV per formula unit


Entry 2:
Density functional theory data (meta-GGA SCAN) for a crystal of Na6Cu9P8O32 relaxed with PBEsol.

Unit cell a=8.788 b=8.921 c=9.337 alpha=113.23 beta=100.16 gamma=102.59
Space group P-1 (No. 2)
Asymmetric unit:
Na 0.008 0.300 0.243 (multiplicity 2)
Na 0.330 0.308 0.847 (multiplicity 2)
Na 0.354 0.064 0.435 (multiplicity 2)
Cu 0.000 0.000 0.500 (multiplicity 1)
Cu 0.000 0.500 0.000 (multiplicity 1)
Cu 0.194 0.732 0.435 (multiplicity 2)
Cu 0.290 0.118 0.072 (multiplicity 2)
Cu 0.340 0.700 0.946 (multiplicity 2)
Cu 0.500 0.500 0.500 (multiplicity 1)
P 0.036 0.878 0.147 (multiplicity 2)
P 0.167 0.376 0.591 (multiplicity 2)
P 0.341 0.584 0.230 (multiplicity 2)
P 0.394 0.941 0.789 (multiplicity 2)
O 0.012 0.662 0.502 (multiplicity 2)
O 0.070 0.879 0.317 (multiplicity 2)
O 0.101 0.737 0.040 (multiplicity 2)
O 0.125 0.058 0.168 (multiplicity 2)
O 0.149 0.168 0.927 (multiplicity 2)
O 0.150 0.528 0.202 (multiplicity 2)
O 0.195 0.202 0.569 (multiplicity 2)
O 0.196 0.483 0.777 (multiplicity 2)
O 0.276 0.821 0.831 (multiplicity 2)
O 0.277 0.463 0.515 (multiplicity 2)
O 0.303 0.947 0.635 (multiplicity 2)
O 0.385 0.581 0.078 (multiplicity 2)
O 0.396 0.769 0.373 (multiplicity 2)
O 0.417 0.464 0.277 (multiplicity 2)
O 0.444 0.127 0.936 (multiplicity 2)
O 0.451 0.106 0.233 (multiplicity 2)

E_form (uncorrected): -108.66 eV per formula unit


Entry 3:
Density functional theory data (meta-GGA SCAN) for a crystal of NaCuP3O9 relaxed with PBEsol.

Unit cell a=8.305 b=8.991 c=9.028 alpha=90.00 beta=90.00 gamma=90.00
Space group P2_12_12_1 (No. 19)
Asymmetric unit:
Na 0.120 0.068 0.110 (multiplicity 4)
Cu 0.104 0.859 0.385 (multiplicity 4)
P 0.045 0.669 0.048 (multiplicity 4)
P 0.058 0.061 0.733 (multiplicity 4)
P 0.233 0.584 0.564 (multiplicity 4)
O 0.025 0.194 0.616 (multiplicity 4)
O 0.067 0.071 0.361 (multiplicity 4)
O 0.087 0.816 0.112 (multiplicity 4)
O 0.105 0.924 0.650 (multiplicity 4)
O 0.119 0.536 0.698 (multiplicity 4)
O 0.129 0.326 0.123 (multiplicity 4)
O 0.135 0.649 0.440 (multiplicity 4)
O 0.163 0.119 0.856 (multiplicity 4)
O 0.207 0.576 0.011 (multiplicity 4)

E_form (uncorrected): -30.84 eV per formula unit


Entry 4:
Density functional theory data (meta-GGA SCAN) for a crystal of Na5Cu3P4O16 relaxed with PBEsol.

Unit cell a=5.020 b=8.485 c=9.170 alpha=62.80 beta=89.84 gamma=74.86
Space group P-1 (No. 2)
Asymmetric unit:
Na 0.000 0.000 0.000 (multiplicity 1)
Na 0.292 0.463 0.256 (multiplicity 2)
Na 0.336 0.351 0.639 (multiplicity 2)
Cu 0.148 0.755 0.791 (multiplicity 2)
Cu 0.500 0.000 0.500 (multiplicity 1)
P 0.066 0.818 0.433 (multiplicity 2)
P 0.272 0.312 0.977 (multiplicity 2)
O 0.031 0.992 0.265 (multiplicity 2)
O 0.040 0.692 0.003 (multiplicity 2)
O 0.205 0.645 0.417 (multiplicity 2)
O 0.216 0.200 0.500 (multiplicity 2)
O 0.249 0.509 0.822 (multiplicity 2)
O 0.252 0.833 0.565 (multiplicity 2)
O 0.409 0.181 0.910 (multiplicity 2)
O 0.415 0.278 0.139 (multiplicity 2)

E_form (uncorrected): -58.05 eV per formula unit


Entry 5:
Density functional theory data (meta-GGA SCAN) for a crystal of NaCu2S2O10 relaxed with PBEsol.

Unit cell a=8.662 b=5.957 c=7.968 alpha=90.00 beta=120.08 gamma=90.00
Space group C2/m (No. 12)
Asymmetric unit:
Na 0.000 0.000 0.000 (multiplicity 2)
Cu 0.250 0.250 0.500 (multiplicity 4)
S 0.076 0.500 0.793 (multiplicity 4)
O 0.042 0.292 0.255 (multiplicity 8)
O 0.159 0.000 0.537 (multiplicity 4)
O 0.167 0.500 0.680 (multiplicity 4)
O 0.197 0.500 0.000 (multiplicity 4)

E_form (uncorrected): -17.78 eV per formula unit


Entry 6:
Density functional theory data (meta-GGA SCAN) for a crystal of Na3Cu2SbO6 relaxed with PBEsol.

Unit cell a=5.750 b=8.843 c=5.850 alpha=90.00 beta=114.15 gamma=90.00
Space group C2/m (No. 12)
Asymmetric unit:
Na 0.000 0.000 0.000 (multiplicity 2)
Na 0.000 0.327 0.000 (multiplicity 4)
Cu 0.000 0.167 0.500 (multiplicity 4)
Sb 0.000 0.500 0.500 (multiplicity 2)
O 0.199 0.335 0.725 (multiplicity 8)
O 0.244 0.000 0.672 (multiplicity 4)

E_form (uncorrected): -17.88 eV per formula unit


Entry 7:
Density functional theory data (meta-GGA SCAN) for a crystal of NaCu2Se2O10 relaxed with PBEsol.

Unit cell a=9.339 b=6.042 c=8.047 alpha=90.00 beta=121.68 gamma=90.00
Space group C2/m (No. 12)
Asymmetric unit:
Na 0.000 0.000 0.000 (multiplicity 2)
Cu 0.250 0.250 0.500 (multiplicity 4)
Se 0.080 0.500 0.796 (multiplicity 4)
O 0.044 0.269 0.261 (multiplicity 8)
O 0.178 0.000 0.549 (multiplicity 4)
O 0.178 0.500 0.674 (multiplicity 4)
O 0.211 0.500 0.031 (multiplicity 4)

E_form (uncorrected): -10.59 eV per formula unit


Entry 8:
Density functional theory data (meta-GGA SCAN) for a crystal of NaTiCuP2 relaxed with PBEsol.

Unit cell a=4.504 b=4.504 c=4.358 alpha=90.00 beta=90.00 gamma=90.00
Space group P4/mmm (No. 123)
Asymmetric unit:
Na 0.000 0.000 0.000 (multiplicity 1)
Ti 0.500 0.500 0.000 (multiplicity 1)
Cu 0.000 0.000 0.500 (multiplicity 1)
P 0.000 0.500 0.500 (multiplicity 2)

Energy: -10.85 eV/atom